# Ac3CeNd2N6, optimized geometry, DFT GGA-PBE
data_Ac3CeNd2N6
_cell_length_a 6.4919
_cell_length_b 11.2311
_cell_length_c 6.5523
_cell_angle_alpha 90.00
_cell_angle_beta 109.30
_cell_angle_gamma 90.00
_space_group_name_H-M_alt 'C 1 2/m 1'
_space_group_IT_number 12
_space_group_name_Hall '-C 2y'
loop_
_atom_site_label
_atom_site_type_symbol
_atom_site_fract_x
_atom_site_fract_y
_atom_site_fract_z
Ac1 Ac 0.0000 0.0000 0.0000
Ac2 Ac 0.0000 0.3330 0.0000
Ce1 Ce 0.0000 0.5000 0.5000
Nd1 Nd 0.0000 0.1669 0.5000
N1 N 0.2345 0.3408 0.7264
N2 N 0.2425 0.5000 0.2670
# E_form (uncorrected)   -28.2 kcal/mol of atoms
# Total moment   0.0 Bohr magnetons per cell